(A)
# CsCdTe

A geometry-optimized CsCdTe structure (PBE, the Alexandria database).

Its mass density is 5.28 g/cm³.

a b c (Å): 4.957 10.628 8.898
angles (deg): 90.00 90.00 90.00
Element x y z (fractional)
1 Cs 0.000 0.500 0.084
2 Cs 0.500 0.000 0.584
3 Cs 0.000 0.000 0.947
4 Cs 0.500 0.500 0.447
5 Te 0.000 0.267 0.645
6 Te 0.000 0.733 0.645
7 Te 0.500 0.767 0.145
8 Te 0.500 0.233 0.145
9 Cd 0.000 0.862 0.320
10 Cd 0.000 0.138 0.320
11 Cd 0.500 0.362 0.820
12 Cd 0.500 0.638 0.820



(B)
# CsCdTe

A geometry-optimized CsCdTe structure (PBE, the Alexandria database).

Its mass density is 4.59 g/cm³.

a b c (Å): 4.879 5.595 5.457
angles (deg): 90.00 115.13 90.00
Element x y z (fractional)
1 Cs 0.135 0.500 0.602
2 Te 0.786 0.000 0.892
3 Cd 0.459 0.000 0.261



The energy of each structure relative to the most stable one, in meV/atom, is as follows: (A) 0; (B) 108.



(A)
# CsCdTe3

A geometry-optimized CsCdTe3 structure (PBE, the Alexandria database).

Its mass density is 5.36 g/cm³.

a b c (Å): 5.794 5.794 5.794
angles (deg): 90.00 90.00 90.00
Element x y z (fractional)
1 Cs 0.500 0.500 0.500
2 Te 0.000 0.500 0.000
3 Te 0.000 0.000 0.500
4 Te 0.500 0.000 0.000
5 Cd 0.000 0.000 0.000



(B)
# CsCdTe3

A geometry-optimized CsCdTe3 structure (PBE, the Alexandria database).

Its mass density is 3.26 g/cm³.

a b c (Å): 6.842 6.842 6.842
angles (deg): 90.00 90.00 90.00
Each line ends with the local moment (μB).
Element x y z (fractional)
1 Cs 0.000 0.000 0.000  0.10
2 Te 0.000 0.500 0.000  0.81
3 Te 0.000 0.000 0.500  0.95
4 Te 0.500 0.000 0.000  0.62
5 Cd 0.500 0.500 0.500  0.12



The energy of each structure relative to the most stable one, in meV/atom, is as follows: (A) 0; (B) 1040.



(A)
# Cs2Cd2Te3

A geometry-optimized Cs2Cd2Te3 structure (PBE, the Alexandria database).

Its mass density is 4.83 g/cm³.

a b c (Å): 8.120 12.848 12.848
angles (deg): 83.04 71.20 71.20
Element x y z (fractional)
1 Cs 0.858 0.017 0.194
2 Cs 0.358 0.194 0.017
3 Cs 0.750 0.290 0.710
4 Cs 0.750 0.565 0.435
5 Cs 0.250 0.435 0.565
6 Cs 0.250 0.710 0.290
7 Cs 0.642 0.806 0.983
8 Cs 0.142 0.983 0.806
9 Cd 0.652 0.349 0.198
10 Cd 0.629 0.079 0.533
11 Cd 0.152 0.198 0.349
12 Cd 0.129 0.533 0.079
13 Cd 0.871 0.467 0.921
14 Cd 0.848 0.802 0.651
15 Cd 0.371 0.921 0.467
16 Cd 0.348 0.651 0.802
17 Te 0.756 0.256 0.400
18 Te 0.741 0.553 0.145
19 Te 0.256 0.400 0.256
20 Te 0.241 0.145 0.553
21 Te 0.843 0.249 0.986
22 Te 0.157 0.751 0.014
23 Te 0.759 0.855 0.447
24 Te 0.744 0.600 0.744
25 Te 0.343 0.986 0.249
26 Te 0.259 0.447 0.855
27 Te 0.244 0.744 0.600
28 Te 0.657 0.014 0.751



(B)
# Cs2Cd2Te3

A geometry-optimized Cs2Cd2Te3 structure (PBE, the Alexandria database).

Its mass density is 4.75 g/cm³.

a b c (Å): 4.783 9.706 8.608
angles (deg): 125.55 106.13 90.00
Element x y z (fractional)
1 Cs 0.442 0.223 0.885
2 Cs 0.558 0.777 0.115
3 Cd 0.196 0.320 0.392
4 Cd 0.804 0.680 0.608
5 Te 0.000 0.000 0.000
6 Te 0.184 0.613 0.367
7 Te 0.816 0.387 0.633



The energy of each structure relative to the most stable one, in meV/atom, is as follows: (A) 0; (B) 20.



(A)
# CsTlCdTe

A geometry-optimized CsTlCdTe structure (PBE, the Alexandria database).

Its mass density is 5.47 g/cm³.

a b c (Å): 5.956 4.684 12.552
angles (deg): 90.00 90.00 90.00
Element x y z (fractional)
1 Cs 0.000 0.000 0.613
2 Cs 0.500 0.500 0.113
3 Tl 0.000 0.500 0.348
4 Tl 0.500 0.000 0.848
5 Te 0.000 0.000 0.183
6 Te 0.500 0.500 0.683
7 Cd 0.000 0.000 0.940
8 Cd 0.500 0.500 0.440



(B)
# CsTlCdTe

A geometry-optimized CsTlCdTe structure (PBE, the Alexandria database).

Its mass density is 5.44 g/cm³.

a b c (Å): 4.858 5.787 7.061
angles (deg): 100.74 90.02 114.79
Element x y z (fractional)
1 Cs 0.236 0.185 0.871
2 Tl 0.496 0.703 0.489
3 Te 0.976 0.664 0.181
4 Cd 0.761 0.233 0.395



The energy of each structure relative to the most stable one, in meV/atom, is as follows: (A) 0; (B) 12.